VASP calculation (PBE with a Hubbard U) on crystalline PrFe2SnO6 at its relaxed geometry. Values from VASP.

Properties
crystal system = triclinic
space group = P1, No. 1
E = -6.77 eV per atom

The structure in Quantum ESPRESSO input format:
```
&SYSTEM
  ibrav = 0, nat = 10, ntyp = 4
/
ATOMIC_SPECIES
O 16.00 O.upf
Sn 118.71 Sn.upf
Fe 55.84 Fe.upf
Pr 140.91 Pr.upf
CELL_PARAMETERS angstrom
-4.670 0.375 -2.704
-1.780 -4.177 -2.921
-4.445 -3.005 2.045
ATOMIC_POSITIONS angstrom
O -4.732 -3.620 0.125
Sn -2.270 -1.352 -1.675
O -4.347 -1.375 -1.923
O -6.400 -2.943 -3.878
O -3.746 -4.412 -2.845
O -7.069 -2.707 -0.959
Fe -4.385 -2.949 1.943
O -6.267 -5.263 -1.509
Pr -7.863 -4.881 -3.155
Fe -5.279 -3.292 -2.087
```